[1]
# LiZn2Os, optimized geometry, DFT PBE-GGA
# volume = 55.0 Å³ per cell
# magnetic moment = 0.0 Bohr magnetons per cell
# space-group type = P4/mmm (123)
# energy of formation from the pure elements = -0.04 eV/atom
# density of states at the Fermi level = 0.482 states/eV per atom
# density = 9.9 Mg/m³
# DFT total energy = -15.8 eV for the cell shown
data_LiZn2Os
_chemical_formula_sum 'Li1 Zn2 Os1'
_space_group_name_H-M_alt 'P 1'
_space_group_IT_number 1
_cell_length_a 4.3293
_cell_length_b 2.9319
_cell_length_c 4.3293
_cell_angle_alpha 90.00
_cell_angle_beta 90.00
_cell_angle_gamma 90.00
loop_
_space_group_symop_operation_xyz
'x,y,z'
loop_
_atom_site_label
_atom_site_type_symbol
_atom_site_fract_x
_atom_site_fract_y
_atom_site_fract_z
Zn1 Zn 0.5000 0.1250 0.3749
Zn2 Zn 0.0000 0.1250 0.8750
Os1 Os 0.5000 0.6251 0.8749
Li1 Li 0.0000 0.6249 0.3752

[2]
# LiZnOs2, optimized geometry, DFT PBE-GGA
# volume = 55.7 Å³ per cell
# magnetic moment = 0.0 Bohr magnetons per cell
# space-group type = C2/m (12)
# energy of formation from the pure elements = 0.20 eV/atom
# density of states at the Fermi level = 0.741 states/eV per atom
# density = 13.5 Mg/m³
# DFT total energy = -24.9 eV for the cell shown
data_LiZnOs2
_chemical_formula_sum 'Li1 Zn1 Os2'
_space_group_name_H-M_alt 'P 1'
_space_group_IT_number 1
_cell_length_a 4.6899
_cell_length_b 4.6899
_cell_length_c 4.6939
_cell_angle_alpha 81.16
_cell_angle_beta 81.16
_cell_angle_gamma 33.12
loop_
_space_group_symop_operation_xyz
'x,y,z'
loop_
_atom_site_label
_atom_site_type_symbol
_atom_site_fract_x
_atom_site_fract_y
_atom_site_fract_z
Li1 Li 0.2500 0.2500 0.2500
Zn1 Zn 0.7500 0.7500 0.7500
Os1 Os 0.4924 0.4924 0.4938
Os2 Os 0.0076 0.0076 0.0062

[3]
# Li2ZnOs, optimized geometry, DFT PBE-GGA
# volume = 56.7 Å³ per cell
# magnetic moment = 0.0 Bohr magnetons per cell
# space-group type = Cmmm (65)
# energy of formation from the pure elements = 0.04 eV/atom
# density of states at the Fermi level = 0.315 states/eV per atom
# density = 7.9 Mg/m³
# DFT total energy = -16.2 eV for the cell shown
data_Li2ZnOs
_chemical_formula_sum 'Li2 Zn1 Os1'
_space_group_name_H-M_alt 'P 1'
_space_group_IT_number 1
_cell_length_a 2.5908
_cell_length_b 2.5908
_cell_length_c 9.1476
_cell_angle_alpha 90.00
_cell_angle_beta 90.00
_cell_angle_gamma 112.58
loop_
_space_group_symop_operation_xyz
'x,y,z'
loop_
_atom_site_label
_atom_site_type_symbol
_atom_site_fract_x
_atom_site_fract_y
_atom_site_fract_z
Li1 Li 0.0000 0.0000 0.0103
Li2 Li 0.0000 0.0000 0.4897
Os1 Os 0.5000 0.5000 0.2500
Zn1 Zn 0.5000 0.5000 0.7500

[4]
# LiZn2Os, optimized geometry, DFT PBE-GGA
# volume = 55.7 Å³ per cell
# magnetic moment = 0.0 Bohr magnetons per cell
# space-group type = Cm (8)
# energy of formation from the pure elements = 0.01 eV/atom
# density of states at the Fermi level = 0.431 states/eV per atom
# density = 9.8 Mg/m³
# DFT total energy = -15.6 eV for the cell shown
data_LiZn2Os
_chemical_formula_sum 'Li1 Zn2 Os1'
_space_group_name_H-M_alt 'P 1'
_space_group_IT_number 1
_cell_length_a 5.0799
_cell_length_b 5.0799
_cell_length_c 4.6340
_cell_angle_alpha 67.48
_cell_angle_beta 67.48
_cell_angle_gamma 30.50
loop_
_space_group_symop_operation_xyz
'x,y,z'
loop_
_atom_site_label
_atom_site_type_symbol
_atom_site_fract_x
_atom_site_fract_y
_atom_site_fract_z
Li1 Li 0.4991 0.4991 0.5778
Os1 Os 0.2547 0.2547 0.1612
Zn1 Zn 0.0000 0.0000 0.0914
Zn2 Zn 0.7461 0.7461 0.6696

[5]
# LiZnOs2, optimized geometry, DFT PBE-GGA
# volume = 115.3 Å³ per cell
# magnetic moment = 0.0 Bohr magnetons per cell
# space-group type = I-42d (122)
# energy of formation from the pure elements = 0.91 eV/atom
# density of states at the Fermi level = 0.653 states/eV per atom
# density = 13.0 Mg/m³
# DFT total energy = -44.0 eV for the cell shown
data_LiZnOs2
_chemical_formula_sum 'Li2 Zn2 Os4'
_space_group_name_H-M_alt 'P 1'
_space_group_IT_number 1
_cell_length_a 6.8139
_cell_length_b 6.8139
_cell_length_c 5.4200
_cell_angle_alpha 51.05
_cell_angle_beta 51.05
_cell_angle_gamma 90.00
loop_
_space_group_symop_operation_xyz
'x,y,z'
loop_
_atom_site_label
_atom_site_type_symbol
_atom_site_fract_x
_atom_site_fract_y
_atom_site_fract_z
Os1 Os 0.3750 0.3914 0.7500
Os2 Os 0.1414 0.6250 0.2500
Os3 Os 0.8750 0.8586 0.7500
Os4 Os 0.6086 0.1250 0.2500
Zn1 Zn 0.7500 0.2500 0.5000
Zn2 Zn 0.0000 0.0000 0.0000
Li1 Li 0.2500 0.7500 0.5000
Li2 Li 0.5000 0.5000 0.0000

[6]
# LiZn2Os, optimized geometry, DFT PBE-GGA
# volume = 56.1 Å³ per cell
# magnetic moment = 0.0 Bohr magnetons per cell
# space-group type = C2/m (12)
# energy of formation from the pure elements = 0.07 eV/atom
# density of states at the Fermi level = 0.389 states/eV per atom
# density = 9.7 Mg/m³
# DFT total energy = -15.4 eV for the cell shown
data_LiZn2Os
_chemical_formula_sum 'Li1 Zn2 Os1'
_space_group_name_H-M_alt 'P 1'
_space_group_IT_number 1
_cell_length_a 4.6132
_cell_length_b 4.6132
_cell_length_c 5.0309
_cell_angle_alpha 85.28
_cell_angle_beta 85.28
_cell_angle_gamma 31.76
loop_
_space_group_symop_operation_xyz
'x,y,z'
loop_
_atom_site_label
_atom_site_type_symbol
_atom_site_fract_x
_atom_site_fract_y
_atom_site_fract_z
Zn1 Zn 0.5051 0.5051 0.4992
Zn2 Zn 0.9949 0.9949 0.0008
Os1 Os 0.2500 0.2500 0.2500
Li1 Li 0.7500 0.7500 0.7500

[7]
# Li3ZnOs, optimized geometry, DFT PBE-GGA
# volume = 80.7 Å³ per cell
# magnetic moment = 1.3 Bohr magnetons per cell
# space-group type = Pm-3m (221)
# energy of formation from the pure elements = 1.03 eV/atom
# density of states at the Fermi level = 0.621 states/eV per atom
# density = 5.7 Mg/m³
# DFT total energy = -13.1 eV for the cell shown
data_Li3ZnOs
_chemical_formula_sum 'Li3 Zn1 Os1'
_space_group_name_H-M_alt 'P 1'
_space_group_IT_number 1
_cell_length_a 4.3219
_cell_length_b 4.3219
_cell_length_c 4.3219
_cell_angle_alpha 90.00
_cell_angle_beta 90.00
_cell_angle_gamma 90.00
loop_
_space_group_symop_operation_xyz
'x,y,z'
loop_
_atom_site_label
_atom_site_type_symbol
_atom_site_fract_x
_atom_site_fract_y
_atom_site_fract_z
Li1 Li 0.5000 0.0000 0.0000
Li2 Li 0.0000 0.5000 0.0000
Li3 Li 0.0000 0.0000 0.5000
Os1 Os 0.5000 0.5000 0.5000
Zn1 Zn 0.0000 0.0000 0.0000

[8]
# LiZnOs, optimized geometry, DFT PBE-GGA
# volume = 42.6 Å³ per cell
# magnetic moment = 0.0 Bohr magnetons per cell
# space-group type = Fmm2 (42)
# energy of formation from the pure elements = 0.13 eV/atom
# density of states at the Fermi level = 0.423 states/eV per atom
# density = 10.2 Mg/m³
# DFT total energy = -14.0 eV for the cell shown
data_LiZnOs
_chemical_formula_sum 'Li1 Zn1 Os1'
_space_group_name_H-M_alt 'P 1'
_space_group_IT_number 1
_cell_length_a 7.1650
_cell_length_b 6.9531
_cell_length_c 2.6328
_cell_angle_alpha 83.82
_cell_angle_beta 74.75
_cell_angle_gamma 21.43
loop_
_space_group_symop_operation_xyz
'x,y,z'
loop_
_atom_site_label
_atom_site_type_symbol
_atom_site_fract_x
_atom_site_fract_y
_atom_site_fract_z
Zn1 Zn 0.3331 0.3331 0.6669
Li1 Li 0.0018 0.0018 0.9982
Os1 Os 0.6650 0.6650 0.3350

[9]
# LiZn2Os, optimized geometry, DFT PBE-GGA
# volume = 57.4 Å³ per cell
# magnetic moment = 0.0 Bohr magnetons per cell
# space-group type = Cmm2 (35)
# energy of formation from the pure elements = 0.11 eV/atom
# density of states at the Fermi level = 0.457 states/eV per atom
# density = 9.5 Mg/m³
# DFT total energy = -15.2 eV for the cell shown
data_LiZn2Os
_chemical_formula_sum 'Li1 Zn2 Os1'
_space_group_name_H-M_alt 'P 1'
_space_group_IT_number 1
_cell_length_a 2.6635
_cell_length_b 2.6635
_cell_length_c 9.0470
_cell_angle_alpha 90.00
_cell_angle_beta 90.00
_cell_angle_gamma 116.65
loop_
_space_group_symop_operation_xyz
'x,y,z'
loop_
_atom_site_label
_atom_site_type_symbol
_atom_site_fract_x
_atom_site_fract_y
_atom_site_fract_z
Zn1 Zn 0.5000 0.5000 0.2520
Zn2 Zn 0.0000 0.0000 0.9964
Os1 Os 0.5000 0.5000 0.7481
Li1 Li 0.0000 0.0000 0.5034

[10]
# Li2ZnOs, optimized geometry, DFT PBE-GGA
# volume = 52.8 Å³ per cell
# magnetic moment = 0.0 Bohr magnetons per cell
# space-group type = I-4m2 (119)
# energy of formation from the pure elements = 0.28 eV/atom
# density of states at the Fermi level = 0.392 states/eV per atom
# density = 8.5 Mg/m³
# DFT total energy = -15.2 eV for the cell shown
data_Li2ZnOs
_chemical_formula_sum 'Li2 Zn1 Os1'
_space_group_name_H-M_alt 'P 1'
_space_group_IT_number 1
_cell_length_a 4.5587
_cell_length_b 4.5587
_cell_length_c 4.5587
_cell_angle_alpha 130.96
_cell_angle_beta 130.96
_cell_angle_gamma 71.88
loop_
_space_group_symop_operation_xyz
'x,y,z'
loop_
_atom_site_label
_atom_site_type_symbol
_atom_site_fract_x
_atom_site_fract_y
_atom_site_fract_z
Os1 Os 0.5000 0.5000 0.0000
Li1 Li 0.2500 0.7500 0.5000
Li2 Li 0.0000 0.0000 0.0000
Zn1 Zn 0.7500 0.2500 0.5000

[11]
# Li2ZnOs, optimized geometry, DFT PBE-GGA
# volume = 55.0 Å³ per cell
# magnetic moment = 0.0 Bohr magnetons per cell
# space-group type = C2/m (12)
# energy of formation from the pure elements = 0.04 eV/atom
# density of states at the Fermi level = 0.368 states/eV per atom
# density = 8.1 Mg/m³
# DFT total energy = -16.2 eV for the cell shown
data_Li2ZnOs
_chemical_formula_sum 'Li2 Zn1 Os1'
_space_group_name_H-M_alt 'P 1'
_space_group_IT_number 1
_cell_length_a 5.2419
_cell_length_b 5.2419
_cell_length_c 2.5846
_cell_angle_alpha 77.26
_cell_angle_beta 77.26
_cell_angle_gamma 120.27
loop_
_space_group_symop_operation_xyz
'x,y,z'
loop_
_atom_site_label
_atom_site_type_symbol
_atom_site_fract_x
_atom_site_fract_y
_atom_site_fract_z
Li1 Li 0.0000 0.0000 0.0000
Li2 Li 0.5000 0.5000 0.0000
Zn1 Zn 0.0000 0.5000 0.5000
Os1 Os 0.5000 0.0000 0.5000

[12]
# Li5Zn6Os, optimized geometry, DFT PBE-GGA
# volume = 173.2 Å³ per cell
# magnetic moment = 0.0 Bohr magnetons per cell
# space-group type = Cmmm (65)
# energy of formation from the pure elements = -0.11 eV/atom
# density of states at the Fermi level = 0.323 states/eV per atom
# density = 5.9 Mg/m³
# DFT total energy = -29.8 eV for the cell shown
data_Li5Zn6Os
_chemical_formula_sum 'Li5 Zn6 Os1'
_space_group_name_H-M_alt 'P 1'
_space_group_IT_number 1
_cell_length_a 4.0915
_cell_length_b 6.9629
_cell_length_c 6.4138
_cell_angle_alpha 90.00
_cell_angle_beta 71.40
_cell_angle_gamma 90.00
loop_
_space_group_symop_operation_xyz
'x,y,z'
loop_
_atom_site_label
_atom_site_type_symbol
_atom_site_fract_x
_atom_site_fract_y
_atom_site_fract_z
Zn1 Zn 0.1623 0.2435 0.6754
Zn2 Zn 0.8377 0.7565 0.3246
Zn3 Zn 0.8377 0.2435 0.3246
Zn4 Zn 0.5000 0.7609 0.0000
Zn5 Zn 0.5000 0.2391 0.0000
Zn6 Zn 0.1623 0.7565 0.6754
Li1 Li 0.6651 0.0000 0.6698
Li2 Li 0.6738 0.5000 0.6524
Li3 Li 0.3349 0.0000 0.3302
Li4 Li 0.3262 0.5000 0.3476
Li5 Li 0.0000 0.5000 0.0000
Os1 Os 0.0000 0.0000 0.0000

[13]
# LiZn2Os2, optimized geometry, DFT PBE-GGA
# volume = 89.1 Å³ per cell
# magnetic moment = 0.0 Bohr magnetons per cell
# space-group type = I4/mmm (139)
# energy of formation from the pure elements = 0.62 eV/atom
# density of states at the Fermi level = 0.747 states/eV per atom
# density = 9.7 Mg/m³
# DFT total energy = -23.8 eV for the cell shown
data_LiZn2Os2
_chemical_formula_sum 'Li1 Zn2 Os2'
_space_group_name_H-M_alt 'P 1'
_space_group_IT_number 1
_cell_length_a 5.2618
_cell_length_b 5.2618
_cell_length_c 5.2618
_cell_angle_alpha 127.43
_cell_angle_beta 127.43
_cell_angle_gamma 77.56
loop_
_space_group_symop_operation_xyz
'x,y,z'
loop_
_atom_site_label
_atom_site_type_symbol
_atom_site_fract_x
_atom_site_fract_y
_atom_site_fract_z
Os1 Os 0.6387 0.6387 0.0000
Os2 Os 0.3613 0.3613 0.0000
Zn1 Zn 0.2500 0.7500 0.5000
Zn2 Zn 0.7500 0.2500 0.5000
Li1 Li 0.0000 0.0000 0.0000

[14]
# Li4Zn10Os, optimized geometry, DFT PBE-GGA
# volume = 246.9 Å³ per cell
# magnetic moment = 0.0 Bohr magnetons per cell
# space-group type = C2/m (12)
# energy of formation from the pure elements = -0.03 eV/atom
# density of states at the Fermi level = 0.364 states/eV per atom
# density = 5.9 Mg/m³
# DFT total energy = -32.1 eV for the cell shown
data_Li4Zn10Os
_chemical_formula_sum 'Li4 Zn10 Os1'
_space_group_name_H-M_alt 'P 1'
_space_group_IT_number 1
_cell_length_a 9.5194
_cell_length_b 7.4463
_cell_length_c 6.6251
_cell_angle_alpha 68.85
_cell_angle_beta 44.07
_cell_angle_gamma 50.27
loop_
_space_group_symop_operation_xyz
'x,y,z'
loop_
_atom_site_label
_atom_site_type_symbol
_atom_site_fract_x
_atom_site_fract_y
_atom_site_fract_z
Li1 Li 0.7139 0.5256 0.0466
Li2 Li 0.2861 0.4744 0.9534
Li3 Li 0.7251 0.9223 0.6274
Li4 Li 0.2749 0.0777 0.3726
Zn1 Zn 0.7432 0.2023 0.8597
Zn2 Zn 0.8032 0.2603 0.4110
Zn3 Zn 0.8052 0.7977 0.1403
Zn4 Zn 0.1968 0.7397 0.5890
Zn5 Zn 0.5256 0.2603 0.4110
Zn6 Zn 0.1948 0.2023 0.8597
Zn7 Zn 0.8678 0.5000 0.5000
Zn8 Zn 0.1322 0.5000 0.5000
Zn9 Zn 0.2568 0.7977 0.1403
Zn10 Zn 0.4744 0.7397 0.5890
Os1 Os 0.0000 0.0000 0.0000